First-principles (GGA+U) data for a relaxed structure of MnRhSeO5, as listed in Alexandria.

Computed properties:
* total magnetic moment: 15.9 μB/cell
* Fermi-level density of states: 11.86 states/eV per cell
* DFT total energy: -197.7 eV for the cell shown
* calculated volume: 441.7 Å³/cell

Unit cell a=7.150 b=10.180 c=6.568 alpha=90.00 beta=112.49 gamma=90.00
Space group C2/c (No. 15)
Inequivalent atoms, fractional coordinates:
Mn1 0.250 0.250 0.000 x4
Rh1 0.000 0.001 0.750 x4
Se1 0.000 0.457 0.250 x4
O1 0.000 0.187 0.750 x4
O2 0.026 0.350 0.064 x8
O3 0.186 0.020 0.084 x8